Entry 1:
Density functional theory data (PBEsol) for a geometry-optimized ScTaInB2 structure.

Geometry as POSCAR:
```
ScTaInB2
1.0
4.364 0.000 0.000
0.000 4.364 0.000
0.000 0.000 4.847
B Ta In Sc
2 1 1 1
direct
0.000 0.500 0.000 B
0.500 0.000 0.000 B
0.000 0.000 0.500 Ta
0.500 0.500 0.500 In
0.000 0.000 0.000 Sc
```

Summary:
crystal system	tetragonal
total moment	0.00	μB/atom
raw total energy	-5.356	eV/atom

***

Entry 2:
Density functional theory data (PBEsol) for a geometry-optimized InB2Se structure.

Geometry as POSCAR:
```
InB2Se
1.0
4.329 0.000 0.000
2.165 3.749 0.000
2.165 1.250 3.535
Se B In
1 2 1
direct
0.000 0.000 0.000 Se
0.750 0.750 0.750 B
0.250 0.250 0.250 B
0.500 0.500 0.500 In
```

Summary:
crystal system	cubic
formation energy from raw total energies	1.55	eV/atom
total moment	0.00	μB/atom
raw total energy	-3.668	eV/atom

***

Entry 3:
Density functional theory data (PBEsol) for a geometry-optimized SrIn3B structure.

Geometry as POSCAR:
```
SrIn3B
1.0
4.958 0.000 0.000
0.000 4.958 0.000
0.000 0.000 4.958
B Sr In
1 1 3
direct
0.000 0.000 0.000 B
0.500 0.500 0.500 Sr
0.500 0.000 0.000 In
0.000 0.000 0.500 In
0.000 0.500 0.000 In
```

Summary:
crystal system	cubic
total moment	0.00	μB/atom
raw total energy	-3.284	eV/atom

***

Entry 4:
Density functional theory data (PBEsol) for a geometry-optimized InBTe3 structure.

Geometry as POSCAR:
```
InBTe3
1.0
4.907 0.000 0.000
0.000 4.907 0.000
0.000 0.000 4.907
Te B In
3 1 1
direct
0.000 0.500 0.000 Te
0.000 0.000 0.500 Te
0.500 0.000 0.000 Te
0.000 0.000 0.000 B
0.500 0.500 0.500 In
```

Summary:
crystal system	cubic
formation energy from raw total energies	0.46	eV/atom
total moment	0.00	μB/atom
raw total energy	-3.659	eV/atom

***

Entry 5:
Density functional theory data (PBEsol) for a geometry-optimized TlInB3 structure.

Geometry as POSCAR:
```
TlInB3
1.0
-2.398 2.599 -2.871
-2.529 -3.609 -1.154
-2.933 0.987 3.343
Tl B In
1 3 1
direct
0.000 0.000 0.000 Tl
0.000 0.500 0.000 B
0.500 0.000 0.000 B
0.000 0.000 0.500 B
0.500 0.500 0.500 In
```

Summary:
crystal system	cubic
total moment	0.00	μB/atom
raw total energy	-3.022	eV/atom

***

Entry 6:
Density functional theory data (PBEsol) for a geometry-optimized In3BW structure.

Geometry as POSCAR:
```
In3BW
1.0
-2.160 0.964 3.947
-3.963 -1.488 -1.805
0.898 -4.247 1.529
W B In
1 1 3
direct
0.500 0.500 0.500 W
0.000 0.000 0.000 B
0.000 0.500 0.000 In
0.000 0.000 0.500 In
0.500 0.000 0.000 In
```

Summary:
crystal system	cubic
total moment	0.49	μB/atom
raw total energy	-4.598	eV/atom

***

Entry 7:
Density functional theory data (PBEsol) for a geometry-optimized YIn3B structure.

Geometry as POSCAR:
```
YIn3B
1.0
-4.442 -1.532 1.007
-0.491 -1.548 -4.523
1.767 -4.284 1.274
B In Y
1 3 1
direct
0.000 0.000 0.000 B
0.000 0.500 0.000 In
0.500 0.000 0.000 In
0.000 0.000 0.500 In
0.500 0.500 0.500 Y
```

Summary:
crystal system	cubic
total moment	0.00	μB/atom
raw total energy	-4.244	eV/atom

***

Entry 8:
Density functional theory data (PBEsol) for a geometry-optimized ZrInB3 structure.

Geometry as POSCAR:
```
ZrInB3
1.0
4.262 0.000 0.000
0.000 4.262 0.000
0.000 0.000 4.262
B In Zr
3 1 1
direct
0.000 0.500 0.000 B
0.500 0.000 0.000 B
0.000 0.000 0.500 B
0.000 0.000 0.000 In
0.500 0.500 0.500 Zr
```

Summary:
crystal system	cubic
total moment	0.00	μB/atom
raw total energy	-4.771	eV/atom

***

Entry 9:
Density functional theory data (PBEsol) for a geometry-optimized KBIr3 structure.

Geometry as POSCAR:
```
KBIr3
1.0
-1.313 -2.744 -2.907
3.878 -0.134 -1.625
0.967 -3.186 2.571
B Ir K
1 3 1
direct
0.000 0.000 0.000 B
0.500 0.000 0.000 Ir
0.000 0.000 0.500 Ir
0.000 0.500 0.000 Ir
0.500 0.500 0.500 K
```

Summary:
crystal system	cubic
total moment	0.00	μB/atom
raw total energy	-6.929	eV/atom

***

Entry 10:
Density functional theory data (PBEsol) for a geometry-optimized KReBIr2 structure.

Geometry as POSCAR:
```
KReBIr2
1.0
4.344 0.000 0.000
0.000 4.777 0.000
0.000 0.000 4.777
K B Ir Re
1 1 2 1
direct
0.500 0.500 0.500 K
0.500 0.000 0.000 B
0.000 0.500 0.000 Ir
0.000 0.000 0.500 Ir
0.000 0.000 0.000 Re
```

Summary:
crystal system	tetragonal
total moment	0.00	μB/atom
raw total energy	-6.800	eV/atom

***

Entry 11:
Density functional theory data (PBEsol) for a geometry-optimized LaB2Ir3 structure.

Geometry as POSCAR:
```
LaB2Ir3
1.0
-1.774 -0.824 -2.402
2.905 -4.675 -0.542
-4.467 0.118 3.258
Ir B La
3 2 1
direct
0.500 0.000 0.500 Ir
0.500 0.500 0.000 Ir
0.500 0.500 0.500 Ir
0.000 0.667 0.333 B
0.000 0.333 0.667 B
0.000 0.000 0.000 La
```

Summary:
crystal system	hexagonal
total moment	0.00	μB/atom
raw total energy	-8.805	eV/atom

***

Entry 12:
Density functional theory data (PBEsol) for a geometry-optimized LiB2Ir2 structure.

Geometry as POSCAR:
```
LiB2Ir2
1.0
-0.559 0.196 3.689
-0.465 -3.706 0.126
4.502 1.276 -1.278
Ir B Li
2 2 1
direct
0.750 0.250 0.500 Ir
0.250 0.750 0.500 Ir
0.389 0.389 0.778 B
0.611 0.611 0.222 B
0.000 0.000 0.000 Li
```

Summary:
crystal system	tetragonal
total moment	0.00	μB/atom
raw total energy	-7.433	eV/atom